Compound: K2GeMo2
Source: the Alexandria database
Functional: PBE-GGA
Structure: optimized geometry

Output
Energy relative to the elements: 4.13 eV/f.u.
Energy above the lowest structure with this stoichiometry: 0.000 eV per atom

a b c (Å): 3.496 3.496 23.994
angles (deg): 90.00 90.00 90.00
Space group I4/mmm (No. 139)
Asymmetric unit:
1 K 0.000 0.000 0.107 (multiplicity 4)
2 Ge 0.000 0.000 0.500 (multiplicity 2)
3 Mo 0.000 0.500 0.250 (multiplicity 4)

***

Compound: KUCl4
Source: the Alexandria database
Functional: PBE-GGA
Structure: optimized geometry

Output
Uncorrected formation energy: -1.7917 eV per atom
Energy above the lowest structure with this stoichiometry: 0.000 eV per atom

a b c (Å): 9.295 13.675 6.531
angles (deg): 90.00 120.35 90.00
Space group C2/c (No. 15)
Asymmetric unit:
1 K 0.000 0.141 0.250 (multiplicity 4)
2 U 0.000 0.498 0.750 (multiplicity 4)
3 Cl 0.107 0.341 0.573 (multiplicity 8)
4 Cl 0.228 0.060 0.802 (multiplicity 8)

***

Compound: TbY2PuO8
Source: the Alexandria database
Functional: PBE-GGA
Structure: optimized geometry

Output
Uncorrected formation energy: -3.0728 eV per atom

a b c (Å): 7.165 7.280 6.987
angles (deg): 90.00 90.00 90.00
Space group Cmmm (No. 65)
Asymmetric unit:
1 Tb 0.000 0.000 0.000 (multiplicity 2)
2 Y 0.000 0.500 0.241 (multiplicity 4)
3 Pu 0.000 0.000 0.500 (multiplicity 2)
4 O 0.000 0.183 0.279 (multiplicity 8)
5 O 0.192 0.500 0.000 (multiplicity 4)
6 O 0.221 0.500 0.500 (multiplicity 4)

***

Compound: NaIn8Ir2
Source: the Alexandria database
Functional: PBE-GGA
Structure: optimized geometry

Output
Energy relative to the elements: 0.02 eV/f.u.
Energy above the lowest structure with this stoichiometry: 0.110 eV per atom

a b c (Å): 6.643 6.643 6.125
angles (deg): 90.00 90.00 90.00
Space group P4/mmm (No. 123)
Asymmetric unit:
1 Na 0.000 0.000 0.000 (multiplicity 1)
2 In 0.267 0.267 0.250 (multiplicity 8)
3 Ir 0.000 0.500 0.500 (multiplicity 2)

***

Compound: Nd9ErPb2
Source: the Alexandria database
Functional: PBE-GGA
Structure: optimized geometry

Output
Energy relative to the elements: -2.51 eV/f.u.

a b c (Å): 5.014 5.014 15.418
angles (deg): 90.00 90.00 90.00
Space group P4/mmm (No. 123)
Asymmetric unit:
1 Nd 0.000 0.000 0.000 (multiplicity 1)
2 Nd 0.000 0.000 0.338 (multiplicity 2)
3 Nd 0.000 0.500 0.172 (multiplicity 4)
4 Nd 0.000 0.500 0.500 (multiplicity 2)
5 Er 0.500 0.500 0.000 (multiplicity 1)
6 Pb 0.500 0.500 0.337 (multiplicity 2)

***

Compound: PrZr3
Source: the Alexandria database
Functional: PBE-GGA
Structure: optimized geometry

Output
Energy relative to the elements: 0.60 eV/f.u.
Energy above the lowest structure with this stoichiometry: 0.000 eV per atom

a b c (Å): 3.309 5.343 5.868
angles (deg): 90.00 90.00 90.00
Space group Pmm2 (No. 25)
Asymmetric unit:
1 Pr 0.000 0.000 0.000 (multiplicity 1)
2 Zr 0.000 0.500 0.661 (multiplicity 1)
3 Zr 0.500 0.000 0.499 (multiplicity 1)
4 Zr 0.500 0.500 0.202 (multiplicity 1)

***

Compound: PmLu2Ta
Source: the Alexandria database
Functional: PBE-GGA
Structure: optimized geometry

Output
Energy relative to the elements: 2.36 eV/f.u.

a b c (Å): 3.2473 3.2473 35.0357
angles (deg): 90.00 90.00 120.00
Space group R-3m (No. 166, hexagonal axes)
Asymmetric unit:
1 Pm 0.0000 0.0000 0.0000 (multiplicity 3)
2 Lu 0.0000 0.0000 0.4170 (multiplicity 6)
3 Ta 0.0000 0.0000 0.5000 (multiplicity 3)

***

Compound: ZrFeSi
Source: the Alexandria database
Functional: PBE-GGA
Structure: optimized geometry

Output
Uncorrected formation energy: -0.4422 eV per atom

a b c (Å): 4.0656 4.0656 20.1964
angles (deg): 90.00 90.00 120.00
Space group R-3m (No. 166, hexagonal axes)
Asymmetric unit:
1 Zr 0.0000 0.0000 0.2337 (multiplicity 6)
2 Fe 0.0000 0.0000 0.3656 (multiplicity 6)
3 Si 0.0000 0.0000 0.0000 (multiplicity 3)
4 Si 0.0000 0.0000 0.5000 (multiplicity 3)

***

Values for calculated density, kg/m³, ordered as above
3881 3884 6459 8146 8054 6635 10523 6036
Values for electronic total energy, eV per atom, ordered as above
-4.8680 -5.0871 -9.0357 -3.7212 -4.7829 -7.4554 -5.8208 -7.9201